(1)
The following is a PBE calculation of a relaxed LaInSi3 crystal, from Alexandria.

Cell: 5.0911 5.0911 5.0911 Å, 90.00 90.00 90.00°
Sites, in units of the cell vectors:
La 0.0000 0.0000 0.0000
In 0.5000 0.5000 0.5000
Si 0.0000 0.5000 0.5000
Si 0.5000 0.0000 0.5000
Si 0.5000 0.5000 0.0000

Properties
Its uncorrected formation energy is 0.60 eV per atom. The value obtained for the mass density is 4.25 g/cm3. The total magnetization comes out at 0.0 μB per cell. The value obtained for the energy above the most stable polymorph in this dataset is 0.0 kJ/mol of formula units.


(2)
The following is a PBE calculation of a relaxed LaIn2Si crystal, from Alexandria.

Cell: 6.6679 6.6679 6.6679 Å, 102.47 102.47 124.61°
Sites, in units of the cell vectors:
La 0.0000 0.0000 0.0000
La 0.7500 0.2500 0.5000
In 0.1817 0.6250 0.0567
In 0.3750 0.4317 0.5567
In 0.5683 0.1250 0.9433
In 0.8750 0.8183 0.4433
Si 0.2500 0.7500 0.5000
Si 0.5000 0.5000 0.0000

Properties
Its uncorrected formation energy is -0.24 eV per atom. The value obtained for the mass density is 6.10 g/cm3. The total magnetization comes out at 0.0 μB per cell.